The following is a DFT calculation (GGA-PBE) of crystalline Hf2GeOsBr at its relaxed geometry.

```
Hf2GeOsBr
1.0
5.134 0.000 0.000
0.000 5.134 0.000
0.000 0.000 4.679
Hf Ge Os Br
2 1 1 1
Direct
0.000 0.500 0.000
0.500 0.000 0.000
0.000 0.000 0.500
0.000 0.000 0.000
0.500 0.500 0.500
```

Computed properties:
M_tot in Bohr magnetons per cell: 0.000
Uncorrected formation energy in eV per atom: 0.1872

***

The following is a DFT calculation (GGA-PBE) of crystalline GaIr3Pt at its relaxed geometry.

```
GaIr3Pt
1.0
4.501 0.000 0.000
0.000 4.501 0.000
0.000 0.000 4.501
Ga Ir Pt
1 3 1
Direct
0.000 0.000 0.000
0.000 0.000 0.500
0.000 0.500 0.000
0.500 0.000 0.000
0.500 0.500 0.500
```

Computed properties:
M_tot in Bohr magnetons per cell: 2.280
Energy of formation in meV per atom: 1451
E above lowest polymorph in kJ/mol of formula units: 0.0

***

The following is a DFT calculation (GGA-PBE) of crystalline CePmRuPb at its relaxed geometry.

```
CePmRuPb
1.0
3.424 0.000 0.000
0.000 3.424 0.000
0.000 0.000 8.607
Ce Pm Ru Pb
1 1 1 1
Direct
0.000 0.000 0.000
0.000 0.000 0.408
0.500 0.500 0.193
0.500 0.500 0.704
```

Computed properties:
M_tot in Bohr magnetons per cell: 0.343
Energy of formation in meV per atom: -381
E above lowest polymorph in kJ/mol of formula units: 0.0

***

The following is a DFT calculation (GGA-PBE) of crystalline CuSO2 at its relaxed geometry.

```
CuSO2
1.0
2.989 0.000 0.000
-1.495 2.589 0.000
0.000 0.000 17.076
Cu S O
3 3 6
Direct
0.000 0.000 0.000
0.333 0.667 0.667
0.667 0.333 0.333
0.000 0.000 0.500
0.333 0.667 0.167
0.667 0.333 0.833
0.000 0.000 0.400
0.000 0.000 0.600
0.333 0.667 0.066
0.333 0.667 0.267
0.667 0.333 0.733
0.667 0.333 0.934
```

Computed properties:
M_tot in Bohr magnetons per cell: 0.000
Uncorrected formation energy in eV per atom: -0.2807

***

The following is a DFT calculation (GGA-PBE) of crystalline Fe3AsSe at its relaxed geometry.

```
Fe3AsSe
1.0
4.421 0.000 0.000
0.000 4.421 0.000
0.000 0.000 4.421
Fe As Se
3 1 1
Direct
0.000 0.000 0.500
0.000 0.500 0.000
0.500 0.000 0.000
0.500 0.500 0.500
0.000 0.000 0.000
```

Computed properties:
M_tot in Bohr magnetons per cell: 6.819
E above lowest polymorph in kJ/mol of formula units: 1.7
Uncorrected formation energy in eV per atom: 0.7619

***

The following is a DFT calculation (GGA-PBE) of crystalline Tb6Pm2Sm3 at its relaxed geometry.

```
Tb6Pm2Sm3
1.0
3.089 -5.363 0.000
3.089 5.363 0.000
-2.097 0.000 11.548
Tb Pm Sm
6 2 3
Direct
0.084 0.417 0.750
0.250 0.250 0.250
0.417 0.084 0.750
0.583 0.916 0.250
0.750 0.750 0.750
0.916 0.583 0.250
0.166 0.834 0.000
0.834 0.166 0.000
0.000 0.000 0.500
0.335 0.665 0.500
0.665 0.335 0.500
```

Computed properties:
M_tot in Bohr magnetons per cell: 0.000
Energy of formation in meV per atom: 186
E above lowest polymorph in kJ/mol of formula units: 0.0

***

The following is a DFT calculation (GGA-PBE) of crystalline Hf2H3 at its relaxed geometry.

```
Hf2H3
1.0
3.293 0.000 0.000
0.000 3.293 0.000
0.000 0.000 4.723
Hf H
2 3
Direct
0.000 0.500 0.239
0.500 0.000 0.761
0.000 0.000 0.500
0.500 0.500 0.000
0.500 0.500 0.500
```

Computed properties:
M_tot in Bohr magnetons per cell: 0.000
E above lowest polymorph in kJ/mol of formula units: 0.0

***

The following is a DFT calculation (GGA-PBE) of crystalline CaSnTeN2 at its relaxed geometry.

```
CaSnTeN2
1.0
4.632 0.000 0.000
0.000 4.632 0.000
0.000 0.000 6.252
Ca Sn Te N
1 1 1 2
Direct
0.000 0.000 0.000
0.500 0.500 0.500
0.000 0.000 0.500
0.000 0.500 0.000
0.500 0.000 0.000
```

Computed properties:
M_tot in Bohr magnetons per cell: 3.949
E above lowest polymorph in kJ/mol of formula units: 242.5
Uncorrected formation energy in eV per atom: 1.0507

***

The following is a DFT calculation (GGA-PBE) of crystalline Sm2PPd at its relaxed geometry.

```
Sm2PPd
1.0
3.820 0.000 0.000
-1.910 3.308 0.000
0.000 0.000 26.326
Sm P Pd
6 3 3
Direct
0.000 0.000 0.103
0.000 0.000 0.897
0.333 0.667 0.564
0.333 0.667 0.770
0.667 0.333 0.230
0.667 0.333 0.436
0.000 0.000 0.500
0.333 0.667 0.167
0.667 0.333 0.833
0.000 0.000 0.000
0.333 0.667 0.667
0.667 0.333 0.333
```

Computed properties:
M_tot in Bohr magnetons per cell: 0.000
Energy of formation in meV per atom: -552

***

The following is a DFT calculation (GGA-PBE) of crystalline HfTiSn2 at its relaxed geometry.

```
HfTiSn2
1.0
6.972 0.000 0.000
0.000 6.972 0.000
0.000 0.000 6.972
Hf Ti Sn
4 4 8
Direct
0.000 0.000 0.000
0.000 0.500 0.500
0.500 0.000 0.500
0.500 0.500 0.000
0.000 0.000 0.500
0.000 0.500 0.000
0.500 0.000 0.000
0.500 0.500 0.500
0.250 0.250 0.250
0.250 0.250 0.750
0.250 0.750 0.250
0.250 0.750 0.750
0.750 0.250 0.250
0.750 0.250 0.750
0.750 0.750 0.250
0.750 0.750 0.750
```

Computed properties:
M_tot in Bohr magnetons per cell: 4.463
Energy of formation in meV per atom: -53
E above lowest polymorph in kJ/mol of formula units: 61.6

***

The following is a DFT calculation (GGA-PBE) of crystalline NbIBrO2 at its relaxed geometry.

```
NbIBrO2
1.0
4.012 0.000 0.000
0.000 4.012 0.000
0.000 0.000 6.577
Nb I Br O
1 1 1 2
Direct
0.000 0.000 0.000
0.500 0.500 0.000
0.500 0.500 0.500
0.000 0.500 0.500
0.500 0.000 0.500
```

Computed properties:
M_tot in Bohr magnetons per cell: 2.738
E above lowest polymorph in kJ/mol of formula units: 924.4
Uncorrected formation energy in eV per atom: 0.8993

***

The following is a DFT calculation (GGA-PBE) of crystalline Ca3AlZn2Au6 at its relaxed geometry.

```
Ca3AlZn2Au6
1.0
5.995 0.000 0.000
-2.997 5.192 0.000
0.000 0.000 8.537
Ca Al Zn Au
3 1 2 6
Direct
0.000 0.000 0.000
0.333 0.667 0.614
0.667 0.333 0.386
0.000 0.000 0.500
0.333 0.667 0.021
0.667 0.333 0.979
0.174 0.348 0.282
0.174 0.826 0.282
0.348 0.174 0.718
0.652 0.826 0.282
0.826 0.174 0.718
0.826 0.652 0.718
```

Computed properties:
M_tot in Bohr magnetons per cell: 0.000
Energy of formation in meV per atom: -484

***

The following is a DFT calculation (GGA-PBE) of crystalline Ho3TmH at its relaxed geometry.

```
Ho3TmH
1.0
4.943 0.000 0.000
0.000 4.943 0.000
0.000 0.000 4.943
Ho Tm H
3 1 1
Direct
0.000 0.000 0.500
0.000 0.500 0.000
0.500 0.000 0.000
0.500 0.500 0.500
0.000 0.000 0.000
```

Computed properties:
Energy in eV/atom: -4.468
M_tot in Bohr magnetons per cell: 0.000

***

The following is a DFT calculation (GGA-PBE) of crystalline SrVHPd2 at its relaxed geometry.

```
SrVHPd2
1.0
4.995 0.000 0.000
0.000 4.995 0.000
0.000 0.000 3.744
Sr V H Pd
1 1 1 2
Direct
0.000 0.000 0.000
0.500 0.500 0.500
0.500 0.500 0.000
0.000 0.500 0.500
0.500 0.000 0.500
```

Computed properties:
Energy in eV/atom: -4.810
M_tot in Bohr magnetons per cell: 1.925

***

The following is a DFT calculation (GGA-PBE) of crystalline VFe2Br at its relaxed geometry.

```
VFe2Br
1.0
6.056 0.000 0.000
0.000 6.056 0.000
0.000 0.000 6.056
V Fe Br
4 8 4
Direct
0.000 0.000 0.000
0.000 0.500 0.500
0.500 0.000 0.500
0.500 0.500 0.000
0.250 0.250 0.250
0.250 0.250 0.750
0.250 0.750 0.250
0.250 0.750 0.750
0.750 0.250 0.250
0.750 0.250 0.750
0.750 0.750 0.250
0.750 0.750 0.750
0.000 0.000 0.500
0.000 0.500 0.000
0.500 0.000 0.000
0.500 0.500 0.500
```

Computed properties:
M_tot in Bohr magnetons per cell: 6.649
E above lowest polymorph in kJ/mol of formula units: 0.0
Uncorrected formation energy in eV per atom: 0.7942

***

The following is a DFT calculation (GGA-PBE) of crystalline Ac3La8Sm at its relaxed geometry.

```
Ac3La8Sm
1.0
-3.430 5.946 5.973
3.430 -5.946 5.973
3.430 5.946 -5.973
Ac La Sm
3 8 1
Direct
0.000 0.000 0.000
0.257 0.500 0.757
0.743 0.500 0.243
0.081 0.826 0.254
0.274 0.051 0.777
0.274 0.498 0.223
0.428 0.174 0.254
0.572 0.826 0.746
0.726 0.502 0.777
0.726 0.949 0.223
0.919 0.174 0.746
0.500 0.000 0.500
```

Computed properties:
M_tot in Bohr magnetons per cell: 0.000
Energy of formation in meV per atom: 210

***

The following is a DFT calculation (GGA-PBE) of crystalline Pr2TmCl at its relaxed geometry.

```
Pr2TmCl
1.0
3.675 0.000 0.000
-1.837 3.183 0.000
0.000 0.000 31.242
Pr Tm Cl
6 3 3
Direct
0.000 0.000 0.241
0.000 0.000 0.759
0.333 0.667 0.426
0.333 0.667 0.907
0.667 0.333 0.093
0.667 0.333 0.574
0.000 0.000 0.000
0.333 0.667 0.667
0.667 0.333 0.333
0.000 0.000 0.500
0.333 0.667 0.167
0.667 0.333 0.833
```

Computed properties:
M_tot in Bohr magnetons per cell: 0.001
Uncorrected formation energy in eV per atom: -0.6593

***

The following is a DFT calculation (GGA-PBE) of crystalline SrReRhO6 at its relaxed geometry.

```
SrReRhO6
1.0
5.322 0.000 0.000
-2.661 4.609 0.000
0.000 0.000 5.274
Sr Re Rh O
1 1 1 6
Direct
0.000 0.000 0.000
0.667 0.333 0.500
0.333 0.667 0.500
0.388 0.017 0.701
0.388 0.370 0.299
0.630 0.017 0.299
0.630 0.612 0.701
0.983 0.370 0.701
0.983 0.612 0.299
```

Computed properties:
M_tot in Bohr magnetons per cell: 0.000
Uncorrected formation energy in eV per atom: -1.6970

***

The following is a DFT calculation (GGA-PBE) of crystalline HfFe2PC at its relaxed geometry.

```
HfFe2PC
1.0
3.728 0.000 0.000
0.000 3.728 0.000
0.000 0.000 4.571
Hf Fe P C
1 2 1 1
Direct
0.000 0.000 0.000
0.000 0.500 0.500
0.500 0.000 0.500
0.500 0.500 0.000
0.000 0.000 0.500
```

Computed properties:
M_tot in Bohr magnetons per cell: 2.238
Energy of formation in meV per atom: -235

***

The following is a DFT calculation (GGA-PBE) of crystalline MnV12Ge3 at its relaxed geometry.

```
MnV12Ge3
1.0
4.734 0.000 0.000
0.000 4.736 0.000
0.000 0.000 9.462
Mn V Ge
1 12 3
Direct
0.000 0.000 0.000
0.000 0.500 0.117
0.000 0.500 0.371
0.000 0.500 0.629
0.000 0.500 0.883
0.244 0.000 0.243
0.244 0.000 0.757
0.500 0.244 0.000
0.500 0.254 0.500
0.500 0.746 0.500
0.500 0.756 0.000
0.756 0.000 0.243
0.756 0.000 0.757
0.000 0.000 0.500
0.500 0.500 0.250
0.500 0.500 0.750
```

Computed properties:
M_tot in Bohr magnetons per cell: 0.000
Energy of formation in meV per atom: -292

***

The following is a DFT calculation (GGA-PBE) of crystalline AcLuTe2 at its relaxed geometry.

```
AcLuTe2
1.0
7.829 0.000 0.000
0.000 7.829 0.000
0.000 0.000 7.829
Ac Lu Te
4 4 8
Direct
0.000 0.000 0.000
0.000 0.500 0.500
0.500 0.000 0.500
0.500 0.500 0.000
0.000 0.000 0.500
0.000 0.500 0.000
0.500 0.000 0.000
0.500 0.500 0.500
0.250 0.250 0.250
0.250 0.250 0.750
0.250 0.750 0.250
0.250 0.750 0.750
0.750 0.250 0.250
0.750 0.250 0.750
0.750 0.750 0.250
0.750 0.750 0.750
```

Computed properties:
M_tot in Bohr magnetons per cell: 2.887
E above lowest polymorph in kJ/mol of formula units: 9.8
Uncorrected formation energy in eV per atom: -1.1184

***

The following is a DFT calculation (GGA-PBE) of crystalline TlNiAg2Te at its relaxed geometry.

```
TlNiAg2Te
1.0
4.988 0.000 0.000
0.000 4.988 0.000
0.000 0.000 4.891
Tl Ni Ag Te
1 1 2 1
Direct
0.000 0.000 0.000
0.000 0.000 0.500
0.000 0.500 0.500
0.500 0.000 0.500
0.500 0.500 0.000
```

Computed properties:
M_tot in Bohr magnetons per cell: 0.000
Uncorrected formation energy in eV per atom: 0.4295

***

The following is a DFT calculation (GGA-PBE) of crystalline CsLaAgCl6 at its relaxed geometry.

```
CsLaAgCl6
1.0
-4.714 5.116 7.101
4.714 -5.116 7.101
4.714 5.116 -7.101
Cs La Ag Cl
2 2 2 12
Direct
0.285 0.035 0.250
0.715 0.965 0.750
0.000 0.500 0.500
0.500 0.500 0.000
0.000 0.000 0.500
0.000 0.500 0.000
0.037 0.787 0.250
0.049 0.383 0.204
0.049 0.845 0.667
0.322 0.155 0.704
0.322 0.617 0.167
0.335 0.585 0.750
0.665 0.415 0.250
0.678 0.383 0.833
0.678 0.845 0.296
0.951 0.155 0.333
0.951 0.617 0.796
0.963 0.213 0.750
```

Computed properties:
M_tot in Bohr magnetons per cell: 0.000
Uncorrected formation energy in eV per atom: -1.5874

***

The following is a DFT calculation (GGA-PBE) of crystalline Tm6FeBi3 at its relaxed geometry.

```
Tm6FeBi3
1.0
5.634 -7.142 0.000
5.634 7.142 0.000
0.000 0.000 7.512
Tm Fe Bi
12 2 6
Direct
0.014 0.986 0.500
0.091 0.612 0.581
0.243 0.757 0.019
0.292 0.375 0.067
0.375 0.292 0.567
0.388 0.909 0.581
0.612 0.091 0.081
0.625 0.708 0.067
0.708 0.625 0.567
0.757 0.243 0.519
0.909 0.388 0.081
0.986 0.014 0.000
0.131 0.869 0.755
0.869 0.131 0.255
0.071 0.295 0.744
0.295 0.071 0.244
0.394 0.606 0.377
0.606 0.394 0.877
0.705 0.929 0.744
0.929 0.705 0.244
```

Computed properties:
M_tot in Bohr magnetons per cell: 0.001
Energy of formation in meV per atom: -206